No. 1
# CePuS, relaxed, DFT PBE
data_CePuS
_chemical_formula_sum 'Ce4 Pu4 S4'
_cell_length_a 3.531
_cell_length_b 3.531
_cell_length_c 24.364
_cell_angle_alpha 90.00
_cell_angle_beta 90.00
_cell_angle_gamma 90.00
_space_group_name_H-M_alt 'I 4/m m m'
_space_group_IT_number 139
_space_group_name_Hall '-I 4 2'
loop_
_atom_site_label
_atom_site_type_symbol
_atom_site_fract_x
_atom_site_fract_y
_atom_site_fract_z
_atom_site_occupancy
Ce1 Ce 0.000 0.000 0.194 1
Pu1 Pu 0.000 0.000 0.068 1
S1 S 0.000 0.000 0.375 1
# **V**: 303.77 Å³ per cell
# **Excess energy over the best structure of this formula in the dataset**: 0.249 eV per atom
# **Theoretical density**: 9.1 g/cm³

***

No. 2
# NaPrDyAl, relaxed, DFT PBE
data_NaPrDyAl
_chemical_formula_sum 'Na4 Pr4 Dy4 Al4'
_cell_length_a 7.610
_cell_length_b 7.610
_cell_length_c 7.610
_cell_angle_alpha 90.00
_cell_angle_beta 90.00
_cell_angle_gamma 90.00
_space_group_name_H-M_alt 'F -4 3 m'
_space_group_IT_number 216
_space_group_name_Hall 'F -4 2 3'
loop_
_atom_site_label
_atom_site_type_symbol
_atom_site_fract_x
_atom_site_fract_y
_atom_site_fract_z
_atom_site_occupancy
Na1 Na 0.000 0.000 0.000 1
Pr1 Pr 0.250 0.250 0.750 1
Dy1 Dy 0.250 0.250 0.250 1
Al1 Al 0.000 0.000 0.500 1
# **V**: 440.73 Å³ per cell
# **Final energy**: -58.5 eV/cell
# **Theoretical density**: 5.3 g/cm³

***

No. 3
# NdEuMg2, relaxed, DFT PBE
data_NdEuMg2
_chemical_formula_sum 'Nd1 Eu1 Mg2'
_cell_length_a 5.571
_cell_length_b 5.571
_cell_length_c 3.958
_cell_angle_alpha 90.00
_cell_angle_beta 90.00
_cell_angle_gamma 90.00
_space_group_name_H-M_alt 'P 4/m m m'
_space_group_IT_number 123
_space_group_name_Hall '-P 4 2'
loop_
_atom_site_label
_atom_site_type_symbol
_atom_site_fract_x
_atom_site_fract_y
_atom_site_fract_z
_atom_site_occupancy
Nd1 Nd 0.000 0.000 0.000 1
Eu1 Eu 0.500 0.500 0.000 1
Mg1 Mg 0.000 0.500 0.500 1
# **V**: 122.83 Å³ per cell
# **Excess energy over the best structure of this formula in the dataset**: 0.000 eV per atom
# **Theoretical density**: 4.7 g/cm³

***

No. 4
# PmSm3Y, relaxed, DFT PBE
data_PmSm3Y
_chemical_formula_sum 'Pm4 Sm12 Y4'
_cell_length_a 18.472
_cell_length_b 5.114
_cell_length_c 7.263
_cell_angle_alpha 90.00
_cell_angle_beta 101.36
_cell_angle_gamma 90.00
_space_group_name_H-M_alt 'C 1 2/m 1'
_space_group_IT_number 12
_space_group_name_Hall '-C 2y'
loop_
_atom_site_label
_atom_site_type_symbol
_atom_site_fract_x
_atom_site_fract_y
_atom_site_fract_z
_atom_site_occupancy
Pm1 Pm 0.200 0.000 0.349 1
Sm1 Sm 0.000 0.000 0.250 1
Sm2 Sm 0.100 0.500 0.550 1
Sm3 Sm 0.200 0.000 0.850 1
Y1 Y 0.100 0.500 0.049 1
# **V**: 672.60 Å³ per cell
# **Excess energy over the best structure of this formula in the dataset**: 0.000 eV per atom
# **Theoretical density**: 6.8 g/cm³

***

No. 5
# Ac6Ir2Au3, relaxed, DFT PBE
data_Ac6Ir2Au3
_chemical_formula_sum 'Ac12 Ir4 Au6'
_cell_length_a 5.666
_cell_length_b 5.666
_cell_length_c 22.700
_cell_angle_alpha 90.00
_cell_angle_beta 90.00
_cell_angle_gamma 90.00
_space_group_name_H-M_alt 'I 4/m m m'
_space_group_IT_number 139
_space_group_name_Hall '-I 4 2'
loop_
_atom_site_label
_atom_site_type_symbol
_atom_site_fract_x
_atom_site_fract_y
_atom_site_fract_z
_atom_site_occupancy
Ac1 Ac 0.000 0.000 0.206 1
Ac2 Ac 0.000 0.500 0.087 1
Ir1 Ir 0.000 0.000 0.062 1
Au1 Au 0.000 0.000 0.339 1
Au2 Au 0.000 0.000 0.500 1
# **V**: 728.81 Å³ per cell
# **Final energy**: -116.1 eV/cell
# **Theoretical density**: 10.7 g/cm³

***

No. 6
# NaAcSnRh, relaxed, DFT PBE
data_NaAcSnRh
_chemical_formula_sum 'Na4 Ac4 Sn4 Rh4'
_cell_length_a 7.249
_cell_length_b 7.249
_cell_length_c 7.249
_cell_angle_alpha 90.00
_cell_angle_beta 90.00
_cell_angle_gamma 90.00
_space_group_name_H-M_alt 'F -4 3 m'
_space_group_IT_number 216
_space_group_name_Hall 'F -4 2 3'
loop_
_atom_site_label
_atom_site_type_symbol
_atom_site_fract_x
_atom_site_fract_y
_atom_site_fract_z
_atom_site_occupancy
Na1 Na 0.000 0.000 0.000 1
Ac1 Ac 0.250 0.250 0.750 1
Sn1 Sn 0.250 0.250 0.250 1
Rh1 Rh 0.000 0.000 0.500 1
# **V**: 380.91 Å³ per cell
# **Final energy**: -72.4 eV/cell
# **Theoretical density**: 8.2 g/cm³

***

No. 7
# Li5CdPb, relaxed, DFT PBE
data_Li5CdPb
_chemical_formula_sum 'Li20 Cd4 Pb4'
_cell_length_a 9.905
_cell_length_b 5.597
_cell_length_c 10.553
_cell_angle_alpha 90.00
_cell_angle_beta 109.86
_cell_angle_gamma 90.00
_space_group_name_H-M_alt 'C 1 2/c 1'
_space_group_IT_number 15
_space_group_name_Hall '-C 2yc'
loop_
_atom_site_label
_atom_site_type_symbol
_atom_site_fract_x
_atom_site_fract_y
_atom_site_fract_z
_atom_site_occupancy
Li1 Li 0.000 0.079 0.250 1
Li2 Li 0.064 0.236 0.995 1
Li3 Li 0.232 0.140 0.762 1
Cd1 Cd 0.000 0.450 0.750 1
Pb1 Pb 0.250 0.250 0.500 1
# **V**: 550.20 Å³ per cell
# **Excess energy over the best structure of this formula in the dataset**: 0.000 eV per atom
# **Theoretical density**: 4.3 g/cm³

***

No. 8
# SrPmTlGa, relaxed, DFT PBE
data_SrPmTlGa
_chemical_formula_sum 'Sr4 Pm4 Tl4 Ga4'
_cell_length_a 7.771
_cell_length_b 7.771
_cell_length_c 7.771
_cell_angle_alpha 90.00
_cell_angle_beta 90.00
_cell_angle_gamma 90.00
_space_group_name_H-M_alt 'F -4 3 m'
_space_group_IT_number 216
_space_group_name_Hall 'F -4 2 3'
loop_
_atom_site_label
_atom_site_type_symbol
_atom_site_fract_x
_atom_site_fract_y
_atom_site_fract_z
_atom_site_occupancy
Sr1 Sr 0.000 0.000 0.000 1
Pm1 Pm 0.000 0.000 0.500 1
Tl1 Tl 0.250 0.250 0.250 1
Ga1 Ga 0.250 0.250 0.750 1
# **V**: 469.29 Å³ per cell
# **Final energy**: -53.0 eV/cell
# **Theoretical density**: 7.2 g/cm³

***

No. 9
# Y2AlAg, relaxed, DFT PBE
data_Y2AlAg
_chemical_formula_sum 'Y6 Al3 Ag3'
_cell_length_a 3.5864
_cell_length_b 3.5864
_cell_length_c 27.7598
_cell_angle_alpha 90.00
_cell_angle_beta 90.00
_cell_angle_gamma 120.00
_space_group_name_H-M_alt 'R -3 m'
_space_group_IT_number 166
_space_group_name_Hall '-R 3 2"'
loop_
_atom_site_label
_atom_site_type_symbol
_atom_site_fract_x
_atom_site_fract_y
_atom_site_fract_z
_atom_site_occupancy
Y1 Y 0.0000 0.0000 0.2475 1
Al1 Al 0.0000 0.0000 0.5000 1
Ag1 Ag 0.0000 0.0000 0.0000 1
# **V**: 309.21 Å³ per cell
# **Final energy**: -60.1 eV/cell
# **Theoretical density**: 5.0 g/cm³

***

No. 10
# TcSb5, relaxed, DFT PBE
data_TcSb5
_chemical_formula_sum 'Tc1 Sb5'
_cell_length_a 3.229
_cell_length_b 3.229
_cell_length_c 14.398
_cell_angle_alpha 90.00
_cell_angle_beta 90.00
_cell_angle_gamma 90.00
_space_group_name_H-M_alt 'P 4/m m m'
_space_group_IT_number 123
_space_group_name_Hall '-P 4 2'
loop_
_atom_site_label
_atom_site_type_symbol
_atom_site_fract_x
_atom_site_fract_y
_atom_site_fract_z
_atom_site_occupancy
Tc1 Tc 0.000 0.000 0.000 1
Sb1 Sb 0.000 0.000 0.317 1
Sb2 Sb 0.500 0.500 0.115 1
Sb3 Sb 0.500 0.500 0.500 1
# **V**: 150.10 Å³ per cell
# **Excess energy over the best structure of this formula in the dataset**: 0.073 eV per atom
# **Theoretical density**: 7.8 g/cm³

***

No. 11
# Ta3TiFe4, relaxed, DFT PBE
data_Ta3TiFe4
_chemical_formula_sum 'Ta3 Ti1 Fe4'
_cell_length_a 3.038
_cell_length_b 3.038
_cell_length_c 12.175
_cell_angle_alpha 90.00
_cell_angle_beta 90.00
_cell_angle_gamma 90.00
_space_group_name_H-M_alt 'P 4/m m m'
_space_group_IT_number 123
_space_group_name_Hall '-P 4 2'
loop_
_atom_site_label
_atom_site_type_symbol
_atom_site_fract_x
_atom_site_fract_y
_atom_site_fract_z
_atom_site_occupancy
Ta1 Ta 0.000 0.000 0.000 1
Ta2 Ta 0.000 0.000 0.254 1
Ti1 Ti 0.000 0.000 0.500 1
Fe1 Fe 0.500 0.500 0.128 1
Fe2 Fe 0.500 0.500 0.379 1
# **V**: 112.35 Å³ per cell
# **Final energy**: -79.0 eV/cell
# **Theoretical density**: 12.0 g/cm³

***

No. 12
# K4HfSc3Te8, relaxed, DFT PBE
data_K4HfSc3Te8
_chemical_formula_sum 'K12 Hf3 Sc9 Te24'
_cell_length_a 8.5363
_cell_length_b 8.5363
_cell_length_c 24.7193
_cell_angle_alpha 90.00
_cell_angle_beta 90.00
_cell_angle_gamma 120.00
_space_group_name_H-M_alt 'R -3 m'
_space_group_IT_number 166
_space_group_name_Hall '-R 3 2"'
loop_
_atom_site_label
_atom_site_type_symbol
_atom_site_fract_x
_atom_site_fract_y
_atom_site_fract_z
_atom_site_occupancy
K1 K 0.0000 0.0000 0.0000 1
K2 K 0.0000 0.5000 0.0000 1
Hf1 Hf 0.0000 0.0000 0.5000 1
Sc1 Sc 0.0000 0.5000 0.5000 1
Te1 Te 0.0000 0.0000 0.2331 1
Te2 Te 0.0035 0.5017 0.2332 1
# **V**: 1559.89 Å³ per cell
# **Final energy**: -231.1 eV/cell
# **Theoretical density**: 4.8 g/cm³

***

> Among the records above, which one has the highest V?

K4HfSc3Te8